The following is a PBE calculation of a geometry-optimized Tb5Ir2 structure, from OQMD via LeMat-Bulk.

Cell and atoms, written as POSCAR:
```
Tb5Ir2
1.0
7.9698 -3.2527 0.0000
7.9698 3.2527 0.0000
-0.8928 0.0000 7.1413
Tb Ir
10 4
Direct
0.0700 0.9300 0.7500 Tb
0.1499 0.2885 0.3152 Tb
0.2885 0.1499 0.8152 Tb
0.2929 0.5219 0.0816 Tb
0.4781 0.7071 0.4184 Tb
0.5219 0.2929 0.5816 Tb
0.7071 0.4781 0.9184 Tb
0.7115 0.8501 0.1848 Tb
0.8501 0.7115 0.6848 Tb
0.9300 0.0700 0.2500 Tb
0.1019 0.6761 0.4258 Ir
0.3239 0.8981 0.0742 Ir
0.6761 0.1019 0.9258 Ir
0.8981 0.3239 0.5742 Ir
```

## Properties
ΔH_f (0 K) (eV per atom): -0.642
Crystal system: monoclinic
Space-group type: C2/c, No. 15

The following is a PBE calculation of a geometry-optimized Ni12Te structure, from OQMD via LeMat-Bulk.

Cell and atoms, written as POSCAR:
```
Ni12Te
1.0
4.2808 0.0000 0.0000
0.0329 6.5103 0.0000
0.0548 0.0552 24.5071
Ni Te
24 2
Direct
0.0794 0.1081 0.1509 Ni
0.0822 0.5340 0.8660 Ni
0.0832 0.2503 0.0545 Ni
0.0839 0.3928 0.9604 Ni
0.2471 0.8937 0.0703 Ni
0.2506 0.0357 0.9765 Ni
0.2515 0.1815 0.8812 Ni
0.2507 0.7465 0.1634 Ni
0.4156 0.8212 0.8991 Ni
0.4168 0.5361 0.0858 Ni
0.4166 0.6784 0.9923 Ni
0.4186 0.3972 0.1770 Ni
0.5814 0.6028 0.8230 Ni
0.5834 0.3216 0.0077 Ni
0.5832 0.4639 0.9142 Ni
0.5844 0.1788 0.1009 Ni
0.7493 0.2535 0.8366 Ni
0.7485 0.8185 0.1188 Ni
0.7494 0.9643 0.0235 Ni
0.7529 0.1063 0.9297 Ni
0.9161 0.6072 0.0396 Ni
0.9168 0.7497 0.9455 Ni
0.9178 0.4660 0.1340 Ni
0.9206 0.8919 0.8491 Ni
0.4138 0.9663 0.7942 Te
0.5862 0.0337 0.2058 Te
```

## Properties
Crystal system: triclinic
Space-group type: P-1, No. 2
Relative energy among the computed polymorphs (kJ/mol of formula units): 82

The following is a PBE calculation of a geometry-optimized Ni5MoPt6 structure, from OQMD via LeMat-Bulk.

Cell and atoms, written as POSCAR:
```
Ni5MoPt6
1.0
1.9275 -5.7618 0.0000
1.9275 5.7618 0.0000
0.0000 0.0000 7.4236
Ni Mo Pt
5 1 6
Direct
0.0000 0.0000 0.0000 Ni
0.3363 0.6637 0.0000 Ni
0.3367 0.6633 0.5000 Ni
0.6633 0.3367 0.5000 Ni
0.6637 0.3363 0.0000 Ni
0.0000 0.0000 0.5000 Mo
0.1677 0.8323 0.2473 Pt
0.1677 0.8323 0.7527 Pt
0.5000 0.5000 0.2500 Pt
0.5000 0.5000 0.7500 Pt
0.8323 0.1677 0.2473 Pt
0.8323 0.1677 0.7527 Pt
```

## Properties
ΔH_f (0 K) (eV per atom): -0.172
Crystal system: orthorhombic
Space-group type: Cmmm, No. 65

The following is a PBE calculation of a geometry-optimized MgTlCdNi structure, from OQMD via LeMat-Bulk.

Cell and atoms, written as POSCAR:
```
MgTlCdNi
1.0
6.6758 0.0000 0.0000
0.0000 6.6758 0.0000
0.0000 0.0000 6.6758
Mg Tl Cd Ni
4 4 4 4
Direct
0.0000 0.0000 0.0000 Mg
0.0000 0.5000 0.5000 Mg
0.5000 0.0000 0.5000 Mg
0.5000 0.5000 0.0000 Mg
0.2500 0.2500 0.2500 Tl
0.2500 0.7500 0.7500 Tl
0.7500 0.2500 0.7500 Tl
0.7500 0.7500 0.2500 Tl
0.2500 0.2500 0.7500 Cd
0.2500 0.7500 0.2500 Cd
0.7500 0.2500 0.2500 Cd
0.7500 0.7500 0.7500 Cd
0.0000 0.0000 0.5000 Ni
0.0000 0.5000 0.0000 Ni
0.5000 0.0000 0.0000 Ni
0.5000 0.5000 0.5000 Ni
```

## Properties
DFT total energy (eV/cell): -39.907
Crystal system: cubic
Space-group type: F-43m, No. 216

The following is a PBE calculation of a geometry-optimized YFeB structure, from OQMD via LeMat-Bulk.

Cell and atoms, written as POSCAR:
```
YFeB
1.0
5.9756 0.0000 0.0000
0.0000 5.9756 0.0000
0.0000 0.0000 5.9756
Y Fe B
4 4 4
Direct
0.0000 0.0000 0.0000 Y
0.0000 0.5000 0.5000 Y
0.5000 0.0000 0.5000 Y
0.5000 0.5000 0.0000 Y
0.2500 0.2500 0.2500 Fe
0.2500 0.7500 0.7500 Fe
0.7500 0.2500 0.7500 Fe
0.7500 0.7500 0.2500 Fe
0.2500 0.2500 0.7500 B
0.2500 0.7500 0.2500 B
0.7500 0.2500 0.2500 B
0.7500 0.7500 0.7500 B
```

## Properties
Crystal system: cubic
Space-group type: F-43m, No. 216
Relative energy among the computed polymorphs (kJ/mol of formula units): 510

The following is a PBE calculation of a geometry-optimized ErFeCoGe2 structure, from OQMD via LeMat-Bulk.

Cell and atoms, written as POSCAR:
```
ErFeCoGe2
1.0
3.9846 0.0000 0.0000
0.0000 3.9846 0.0000
0.0000 0.0000 9.9182
Er Fe Co Ge
2 2 2 4
Direct
0.0000 0.0000 0.0000 Er
0.5000 0.5000 0.5000 Er
0.0000 0.5000 0.7500 Fe
0.5000 0.0000 0.2500 Fe
0.0000 0.5000 0.2500 Co
0.5000 0.0000 0.7500 Co
0.0000 0.0000 0.3702 Ge
0.0000 0.0000 0.6298 Ge
0.5000 0.5000 0.1298 Ge
0.5000 0.5000 0.8702 Ge
```

## Properties
DFT total energy (eV/cell): -63.861
Crystal system: tetragonal
Space-group type: I-4m2, No. 119

no.,total magnetic moment (μB per formula unit)
1,0.02
2,6.70
3,2.44
4,0.00
5,2.11
6,0.00